Computed, not measured: crystalline BaAl2Mo at its relaxed geometry at the PBE level of DFT.

The structure in POSCAR format:
```
BaAl2Mo
1.0
4.337 0.000 0.000
0.000 3.058 -0.009
0.000 0.020 7.279
Mo Al Ba
1 2 1
Direct
0.500 0.625 0.883 Mo
0.000 0.125 0.933 Al
0.500 0.125 0.181 Al
0.000 0.625 0.503 Ba
```

## Properties
Total DFT energy (no corrections): -4.811 eV per atom
Energy above the most stable polymorph in this dataset: 145.3 meV per atom
Energy relative to the elements: 0.2486 eV/atom
SG: Pmm2 (25)